This record from the Alexandria database describes crystalline Nd6Dy3Sc2 at its relaxed geometry. The functional is GGA-PBE.

## Properties
The value obtained for the formation energy is 0.19 eV per atom. As for the density of states at the Fermi level: 14.95 states/eV per cell. Its crystal system is monoclinic. The value obtained for the spin magnetization is 0.00 μB/f.u. As for the total energy: -52.96 eV per cell.

a b c (Å): 6.2029 6.2088 11.3110
angles (deg): 84.74 79.43 60.03
Atoms (fractional coordinates):
Sc1 0.8331 0.3338 0.5000
Dy1 0.0000 0.0000 0.0000
Nd1 0.0895 0.3314 0.7365
Nd2 0.5791 0.3314 0.2635
Nd3 0.9105 0.6686 0.2635
Dy2 0.3335 0.3330 0.0000
Sc2 0.1669 0.6662 0.5000
Nd4 0.7524 0.0000 0.7365
Nd5 0.4209 0.6686 0.7365
Dy3 0.6665 0.6670 0.0000
Nd6 0.2476 0.0000 0.2635